(1)
Zn3Ga4Tc after structural relaxation, computed with PBE-GGA.

CIF file:
```
data_Zn3Ga4Tc
_chemical_formula_sum 'Zn6 Ga8 Tc2'
_cell_length_a 8.1071
_cell_length_b 5.3392
_cell_length_c 5.6740
_cell_angle_alpha 90.00
_cell_angle_beta 90.00
_cell_angle_gamma 90.00
_space_group_name_H-M_alt 'P m n a'
_space_group_IT_number 53
loop_
_space_group_symop_operation_xyz
'x,y,z'
'-x,-y,-z'
'-x+1/2,-y,z+1/2'
'x+1/2,y,-z+1/2'
'x,-y,-z'
'-x,y,z'
'-x+1/2,y,-z+1/2'
'x+1/2,-y,z+1/2'
loop_
_atom_site_label
_atom_site_type_symbol
_atom_site_fract_x
_atom_site_fract_y
_atom_site_fract_z
Zn1 Zn 0.0000 0.0000 0.0000
Zn2 Zn 0.2500 0.2462 0.2500
Ga1 Ga 0.0000 0.0000 0.5000
Ga2 Ga 0.0000 0.5000 0.0000
Ga3 Ga 0.2500 0.2615 0.7500
Tc1 Tc 0.0000 0.5000 0.5000
```

Values from the calculation:
crystal system: orthorhombic
DOS at the Fermi energy: 0.34 states/eV/atom
ΔE_f: -0.02 eV per atom
DFT total energy: -3.303 eV per atom

(2)
ZnGaTc after structural relaxation, computed with PBE-GGA.

CIF file:
```
data_ZnGaTc
_chemical_formula_sum 'Zn4 Ga4 Tc4'
_cell_length_a 5.3327
_cell_length_b 6.4075
_cell_length_c 6.3252
_cell_angle_alpha 90.00
_cell_angle_beta 90.00
_cell_angle_gamma 90.00
_space_group_name_H-M_alt 'I m m a'
_space_group_IT_number 74
_space_group_name_Hall '-I 2b 2'
loop_
_atom_site_label
_atom_site_type_symbol
_atom_site_fract_x
_atom_site_fract_y
_atom_site_fract_z
Zn1 Zn 0.0000 0.0000 0.0000
Ga1 Ga 0.9999 0.0000 0.5003
Tc1 Tc 0.2500 0.2500 0.2500
```

Values from the calculation:
crystal system: orthorhombic
DOS at the Fermi energy: 0.49 states/eV/atom
excess energy over the best structure of this formula in the dataset: 0.0 meV/atom
ΔE_f: -0.03 eV per atom
DFT total energy: -4.923 eV per atom

(3)
ZnGaTc2 after structural relaxation, computed with PBE-GGA.

CIF file:
```
data_ZnGaTc2
_chemical_formula_sum 'Zn4 Ga4 Tc8'
_cell_length_a 6.9418
_cell_length_b 6.9418
_cell_length_c 5.2053
_cell_angle_alpha 90.00
_cell_angle_beta 90.00
_cell_angle_gamma 90.00
_space_group_name_H-M_alt 'I -4 2 d'
_space_group_IT_number 122
_space_group_name_Hall 'I -4 2bw'
loop_
_atom_site_label
_atom_site_type_symbol
_atom_site_fract_x
_atom_site_fract_y
_atom_site_fract_z
Zn1 Zn 0.0000 0.0000 0.0000
Ga1 Ga 0.0000 0.0000 0.5000
Tc1 Tc 0.2362 0.2500 0.6250
```

Values from the calculation:
crystal system: tetragonal
DOS at the Fermi energy: 0.95 states/eV/atom
excess energy over the best structure of this formula in the dataset: 361.4 meV/atom
ΔE_f: 0.51 eV per atom
DFT total energy: -5.753 eV per atom

(4)
ZnGa2Tc after structural relaxation, computed with PBE-GGA.

CIF file:
```
data_ZnGa2Tc
_chemical_formula_sum 'Zn3 Ga6 Tc3'
_cell_length_a 2.9269
_cell_length_b 2.9269
_cell_length_c 27.0998
_cell_angle_alpha 90.00
_cell_angle_beta 90.00
_cell_angle_gamma 120.00
_space_group_name_H-M_alt 'R -3 m'
_space_group_IT_number 166
_space_group_name_Hall '-R 3 2"'
loop_
_atom_site_label
_atom_site_type_symbol
_atom_site_fract_x
_atom_site_fract_y
_atom_site_fract_z
Zn1 Zn 0.0000 0.0000 0.0000
Ga1 Ga 0.0000 0.0000 0.0925
Tc1 Tc 0.0000 0.0000 0.5000
```

Values from the calculation:
crystal system: trigonal
DOS at the Fermi energy: 0.58 states/eV/atom
ΔE_f: 0.05 eV per atom
DFT total energy: -4.376 eV per atom